Record 1
HfAl2HgCl: relaxed, PBE.

The structure in POSCAR format:
```
HfAl2HgCl
1.0
-4.4025 1.1665 1.7657
0.8855 -3.3229 4.4031
1.9695 3.7495 2.4336
Hg Al Hf Cl
1 2 1 1
Direct
0.0000 0.0000 0.0000 Hg
0.5000 0.0000 0.0000 Al
0.0000 0.0000 0.5000 Al
0.0000 0.5000 0.0000 Hf
0.5000 0.5000 0.5000 Cl
```

Calculated values
Energy   -15.9 eV for the cell shown
DOS(E_F)   5.0 states/eV/cell

Record 2
HfAl2ICl: relaxed, PBE.

The structure in POSCAR format:
```
HfAl2ICl
1.0
5.6452 0.0000 0.0000
0.0000 4.8620 0.0000
0.0000 0.0000 5.6452
I Al Hf Cl
1 2 1 1
Direct
0.5000 0.5000 0.5000 I
0.5000 0.0000 0.0000 Al
0.0000 0.0000 0.5000 Al
0.0000 0.0000 0.0000 Hf
0.0000 0.5000 0.0000 Cl
```

Calculated values
Energy   -20.1 eV for the cell shown
DOS(E_F)   4.8 states/eV/cell

Record 3
Hf2AlInCl: relaxed, PBE.

The structure in POSCAR format:
```
Hf2AlInCl
1.0
4.7438 0.0000 0.0000
0.0000 4.7721 0.0000
0.0000 0.0000 4.7438
Hf In Al Cl
2 1 1 1
Direct
0.0000 0.0000 0.5000 Hf
0.5000 0.0000 0.0000 Hf
0.5000 0.5000 0.5000 In
0.0000 0.5000 0.0000 Al
0.0000 0.0000 0.0000 Cl
```

Calculated values
Energy   -26.6 eV for the cell shown
DOS(E_F)   3.9 states/eV/cell

Record 4
Hf2NbAlCl: relaxed, PBE.

The structure in POSCAR format:
```
Hf2NbAlCl
1.0
4.6686 0.0000 0.0000
0.0000 4.6270 0.0000
0.0000 0.0000 4.6686
Al Nb Cl Hf
1 1 1 2
Direct
0.0000 0.5000 0.0000 Al
0.5000 0.5000 0.5000 Nb
0.0000 0.0000 0.0000 Cl
0.5000 0.0000 0.0000 Hf
0.0000 0.0000 0.5000 Hf
```

Calculated values
Energy   -33.7 eV for the cell shown
DOS(E_F)   4.8 states/eV/cell

Record 5
HfAlSCl2: relaxed, PBE.

The structure in POSCAR format:
```
HfAlSCl2
1.0
-0.9283 -3.8199 -2.4278
-0.8444 -2.2887 3.9239
-4.6289 1.2826 -0.2481
Hf Cl S Al
1 2 1 1
Direct
0.5000 0.5000 0.5000 Hf
0.5000 0.0000 0.0000 Cl
0.0000 0.5000 0.0000 Cl
0.0000 0.0000 0.5000 S
0.0000 0.0000 0.0000 Al
```

Calculated values
Energy   -22.0 eV for the cell shown
DOS(E_F)   4.3 states/eV/cell
Energy above the most stable polymorph in this dataset   699.8 meV per atom

Record 6
HfAlSCl2: relaxed, PBE.

The structure in POSCAR format:
```
HfAlSCl2
1.0
-0.4076 -2.2952 4.4295
-0.9543 -4.3263 -2.3295
4.8563 -1.0257 -0.0846
Cl Al Hf S
2 1 1 1
Direct
0.0000 0.5000 0.0000 Cl
0.5000 0.0000 0.0000 Cl
0.5000 0.5000 0.5000 Al
0.0000 0.0000 0.0000 Hf
0.0000 0.0000 0.5000 S
```

Calculated values
Energy   -25.5 eV for the cell shown
DOS(E_F)   2.1 states/eV/cell
Energy above the most stable polymorph in this dataset   0.0 meV per atom

Record 7
HfAlSe2Cl: relaxed, PBE.

The structure in POSCAR format:
```
HfAlSe2Cl
1.0
5.0148 0.0000 0.0000
0.0000 5.9180 0.0000
0.0000 0.0000 5.0148
Al Hf Cl Se
1 1 1 2
Direct
0.0000 0.5000 0.0000 Al
0.0000 0.0000 0.0000 Hf
0.5000 0.5000 0.5000 Cl
0.0000 0.0000 0.5000 Se
0.5000 0.0000 0.0000 Se
```

Calculated values
Energy   -23.8 eV for the cell shown
DOS(E_F)   3.4 states/eV/cell

Record 8
AlHgCl2: relaxed, PBE.

The structure in POSCAR format:
```
AlHgCl2
1.0
4.0794 0.0000 0.0000
0.0000 6.4898 0.0000
0.0000 0.0000 4.0491
Al Cl Hg
1 2 1
Direct
0.0000 0.5000 0.5000 Al
0.5000 0.5000 0.0000 Cl
0.0000 0.0000 0.0000 Cl
0.5000 0.0000 0.5000 Hg
```

Calculated values
Energy   -8.6 eV for the cell shown
DOS(E_F)   1.7 states/eV/cell
Energy above the most stable polymorph in this dataset   526.0 meV per atom

Q: The lowest DOS(E_F) belongs to which entry?
A: AlHgCl2